# 1
SiAs2Cl | Alexandria via LeMat-Bulk | PBE | relaxed; formation energy from raw total energies = 0.08 eV per atom; symmetry = No. 166; size of the total moment = 0.00 μB/f.u.; mass density = 4.28 g/cm3
1.0
1.918 1.107 6.490
-1.918 1.107 6.490
0.000 -2.215 6.490
Si As Cl
1 2 1
Cartesian
0.000 0.000 0.000
0.000 0.000 5.253
0.000 0.000 14.217
0.000 0.000 9.735



# 2
Tb2NdMg2Cd2 | Alexandria via LeMat-Bulk | PBE | relaxed; calculated formation energy = -108 meV/atom; symmetry = No. 166; size of the total moment = 0.00 μB/f.u.; mass density = 6.38 g/cm3
1.0
2.533 1.462 8.611
-2.533 1.462 8.611
0.000 -2.925 8.611
Tb Nd Mg Cd
2 1 2 2
Cartesian
0.000 0.000 3.321
0.000 0.000 22.513
0.000 0.000 0.000
0.000 0.000 6.854
0.000 0.000 18.981
0.000 0.000 10.459
0.000 0.000 15.375



# 3
La5CeAu6 | Alexandria via LeMat-Bulk | PBE | relaxed; calculated formation energy = -746 meV/atom; symmetry = No. 12; size of the total moment = 1.05 μB/f.u.; mass density = 10.40 g/cm3
1.0
8.457 -3.742 0.000
8.457 3.742 0.000
-1.693 0.000 5.087
La Ce Au
5 1 6
Cartesian
0.000 0.000 0.000
1.670 0.000 3.384
5.045 0.000 1.687
10.175 0.000 3.401
13.551 0.000 1.703
8.457 0.000 0.000
4.267 1.833 4.254
7.610 1.785 2.544
10.953 1.833 0.834
4.267 -1.833 4.254
7.610 -1.785 2.544
10.953 -1.833 0.834



# 4
Zr2HgPb | Alexandria via LeMat-Bulk | PBE | relaxed; calculated formation energy = -71 meV/atom; symmetry = No. 12; size of the total moment = 0.00 μB/f.u.; mass density = 10.44 g/cm3
1.0
5.184 -1.649 0.000
5.184 1.649 0.000
-1.215 0.000 5.496
Zr Hg Pb
2 1 1
Cartesian
2.305 0.000 1.309
6.847 0.000 4.186
5.184 0.000 0.000
-0.608 0.000 2.748



# 5
Ac4Te5Se | Alexandria via LeMat-Bulk | PBE | relaxed; formation energy from raw total energies = -1.59 eV per atom; symmetry = No. 71; size of the total moment = 0.00 μB/f.u.; mass density = 6.47 g/cm3
1.0
-2.368 4.433 9.939
2.368 -4.433 9.939
2.368 4.433 -9.939
Ac Te Se
4 5 1
Cartesian
0.000 0.000 4.139
2.368 2.358 0.000
0.000 2.076 9.939
0.000 0.000 15.739
0.000 0.000 0.000
2.368 2.202 -3.263
2.368 2.202 3.263
0.000 2.231 6.676
0.000 2.231 13.203
0.000 4.433 0.000



# 6
ThCuNiAg | Alexandria via LeMat-Bulk | PBE | relaxed; calculated formation energy = -94 meV/atom; symmetry = No. 216; size of the total moment = 0.00 μB/f.u.; mass density = 10.23 g/cm3
1.0
0.000 3.347 3.347
3.347 0.000 3.347
3.347 3.347 0.000
Th Cu Ni Ag
1 1 1 1
Cartesian
0.000 0.000 0.000
5.021 5.021 5.021
1.674 1.674 1.674
3.347 3.347 3.347



# 7
Ta5Mo4Ir | Alexandria via LeMat-Bulk | PBE | relaxed; calculated formation energy = -283 meV/atom; symmetry = No. 123; size of the total moment = 0.00 μB/f.u.; mass density = 14.64 g/cm3
1.0
3.239 0.000 0.000
0.000 3.239 0.000
0.000 0.000 16.008
Ta Mo Ir
5 4 1
Cartesian
0.000 0.000 0.000
0.000 0.000 3.231
0.000 0.000 6.397
0.000 0.000 9.611
0.000 0.000 12.777
1.619 1.619 1.612
1.619 1.619 4.858
1.619 1.619 11.150
1.619 1.619 14.397
1.619 1.619 8.004



# 8
K3Rb3Hg2Au | Alexandria via LeMat-Bulk | PBE | relaxed; calculated formation energy = -161 meV/atom; symmetry = No. 189; size of the total moment = 0.00 μB/f.u.; mass density = 3.77 g/cm3
1.0
9.810 0.000 0.000
-4.905 8.496 0.000
0.000 0.000 5.132
K Rb Hg Au
3 3 2 1
Cartesian
-1.972 3.415 0.000
3.943 0.000 0.000
2.934 5.081 0.000
-3.674 6.364 2.566
1.231 2.132 2.566
7.349 0.000 2.566
0.000 5.664 2.566
4.905 2.832 2.566
0.000 0.000 0.000



The following E_tot values (in eV/atom) correspond, in order, to the records above: -4.060; -2.829; -4.932; -5.348; -5.154; -5.131; -11.427; -1.281.